Record 1
Below is MgScW2 after structural relaxation, with properties calculated at the PBE level.

Unit cell a=2.753 b=4.376 c=6.013 alpha=90.00 beta=90.00 gamma=90.00
Sites, in units of the cell vectors:
W  0.500  0.500  0.233
W  0.000  0.000  0.018
Sc  0.500  0.500  0.755
Mg  0.000  0.000  0.493

***

Record 2
Below is MgScW2 after structural relaxation, with properties calculated at the PBE level.

Unit cell a=5.471 b=5.471 c=5.471 alpha=142.50 beta=133.87 gamma=60.90
Sites, in units of the cell vectors:
Sc  0.250  0.750  0.500
Mg  0.750  0.250  0.500
W  0.000  0.000  0.000
W  0.500  0.500  0.000

***

Record 3
Below is MgSc2W after structural relaxation, with properties calculated at the PBE level.

Unit cell a=5.085 b=5.085 c=5.711 alpha=83.25 beta=83.25 gamma=33.62
Sites, in units of the cell vectors:
Sc  0.493  0.493  0.520
Sc  0.007  0.007  0.980
W  0.750  0.750  0.750
Mg  0.250  0.250  0.250

***

Record 4
Below is MgScW2 after structural relaxation, with properties calculated at the PBE level.

Unit cell a=4.809 b=2.775 c=5.485 alpha=77.99 beta=90.00 gamma=90.00
Sites, in units of the cell vectors:
Mg  0.500  0.250  0.250
Sc  0.500  0.750  0.750
W  0.000  0.040  0.987
W  0.000  0.460  0.513

***

Record 5
Below is MgSc2W after structural relaxation, with properties calculated at the PBE level.

Unit cell a=5.341 b=5.341 c=5.341 alpha=133.20 beta=133.20 gamma=68.34
Sites, in units of the cell vectors:
Sc  0.250  0.750  0.500
Sc  0.000  0.000  0.000
Mg  0.750  0.250  0.500
W  0.500  0.500  0.000

***

Record 6
Below is MgSc2W2 after structural relaxation, with properties calculated at the PBE level.

Unit cell a=4.029 b=4.029 c=7.107 alpha=73.53 beta=73.53 gamma=90.00
Sites, in units of the cell vectors:
W  0.409  0.409  0.182
W  0.591  0.591  0.818
Sc  0.750  0.250  0.500
Sc  0.250  0.750  0.500
Mg  0.000  0.000  0.000

***

Record 7
Below is Mg3ScW after structural relaxation, with properties calculated at the PBE level.

Unit cell a=5.096 b=5.096 c=5.096 alpha=90.00 beta=90.00 gamma=90.00
Site moments in Bohr magnetons follow the coordinates.
Sites, in units of the cell vectors:
Mg  0.500  0.000  0.000  0.02
Mg  0.000  0.500  0.000  0.02
Mg  0.000  0.000  0.500  0.00
Sc  0.500  0.500  0.500  -0.12
W  0.000  0.000  0.000  0.99

***

Record 8
Below is MgSc3W after structural relaxation, with properties calculated at the PBE level.

Unit cell a=5.129 b=5.129 c=5.129 alpha=90.00 beta=90.00 gamma=90.00
Sites, in units of the cell vectors:
Mg  0.500  0.500  0.500
W  0.000  0.000  0.000
Sc  0.500  0.000  0.000
Sc  0.000  0.500  0.000
Sc  0.000  0.000  0.500

***

Number 1: DFT formation energy 0.423 eV per atom. Number 2: DFT formation energy 0.354 eV per atom. Number 3: DFT formation energy 0.299 eV per atom. Number 4: DFT formation energy 0.346 eV per atom. Number 5: DFT formation energy 0.268 eV per atom. Number 6: DFT formation energy 0.949 eV per atom. Number 7: DFT formation energy 1.144 eV per atom. Number 8: DFT formation energy 0.559 eV per atom.